# 1
Compound: BiH6I
Source: Alexandria via LeMat-Bulk
Functional: PBE-GGA
Structure: relaxed

a = 9.1983 Å, b = 4.9401 Å, c = 4.9401 Å
α = 93.80°, β = 51.51°, γ = 128.49°
With the nearest neighbours (Å) after each atom.
Atoms (fractional coordinates):
H: 0.2390 0.9927 0.4294  1 Bi 1.96
H: 0.7610 0.4294 0.9927  1 Bi 1.96
H: 0.7610 0.0073 0.5706  1 Bi 1.96
I: 0.0000 0.0000 0.0000  6 H 2.14-2.27
H: 0.2390 0.5706 0.0073  1 Bi 1.96
Bi: 0.5000 0.0000 0.0000  6 H 1.96-1.98
H: 0.3100 0.5494 0.4506  1 Bi 1.98, 1 I 2.14
H: 0.6900 0.4506 0.5494  1 Bi 1.98, 1 I 2.14

Calculated values
Energy in Ry/atom: -0.1857

=====

# 2
Compound: BiHI3
Source: Alexandria via LeMat-Bulk
Functional: PBE-GGA
Structure: relaxed

a = 5.1730 Å, b = 5.1730 Å, c = 5.1730 Å
α = 90.00°, β = 90.00°, γ = 90.00°
With the nearest neighbours (Å) after each atom.
Atoms (fractional coordinates):
I: 0.0000 0.0000 0.5000  2 H 2.59
H: 0.0000 0.0000 0.0000  6 I 2.59
Bi: 0.5000 0.5000 0.5000  12 I 3.66
I: 0.5000 0.0000 0.0000  2 H 2.59
I: 0.0000 0.5000 0.0000  2 H 2.59

Calculated values
Polymorph energy (0 for the lowest one) in meV/atom: 521.8

=====

| no. | mass density (g cm⁻³) |
| --- | --- |
| 1 | 4.85 |
| 2 | 7.09 |